Entry from the Alexandria database: crystalline AlW2N at its relaxed geometry (PBE-GGA).

Computed properties:
- Calculated total energy: -8.3305 eV per atom
- ΔE_f (raw): 1.16 eV/atom
- Calculated volume: 54 Å³/f.u.
- Symmetry: Fm-3m

a = 4.232 Å, b = 4.232 Å, c = 4.232 Å
α = 60.00°, β = 60.00°, γ = 60.00°
Fractional coordinates of all 4 atoms:
1 Al 0.000 0.000 0.000
2 W 0.250 0.250 0.250
3 W 0.750 0.750 0.750
4 N 0.500 0.500 0.500


Entry from the Alexandria database: crystalline MgP2IO at its relaxed geometry (PBE-GGA).

Computed properties:
- Calculated total energy: -3.4399 eV per atom
- ΔE_f (raw): 0.34 eV/atom
- Calculated volume: 99 Å³/f.u.
- Symmetry: P4/mmm

a = 5.158 Å, b = 5.158 Å, c = 3.721 Å
α = 90.00°, β = 90.00°, γ = 90.00°
Fractional coordinates of all 5 atoms:
1 Mg 0.000 0.000 0.000
2 P 0.000 0.500 0.000
3 P 0.500 0.000 0.000
4 I 0.500 0.500 0.500
5 O 0.000 0.000 0.500


Entry from the Alexandria database: crystalline HoTmCoRu at its relaxed geometry (PBE-GGA).

Computed properties:
- Calculated total energy: -6.6576 eV per atom
- Calculated volume: 74 Å³/f.u.
- Symmetry: Pmmm

a = 3.337 Å, b = 4.714 Å, c = 4.728 Å
α = 90.00°, β = 90.00°, γ = 90.00°
Fractional coordinates of all 4 atoms:
1 Ho 0.000 0.000 0.000
2 Tm 0.000 0.500 0.500
3 Co 0.500 0.500 0.000
4 Ru 0.500 0.000 0.500


Entry from the Alexandria database: crystalline LaTmSc2Cd4 at its relaxed geometry (PBE-GGA).

Computed properties:
- Calculated total energy: -3.4869 eV per atom
- Calculated volume: 201 Å³/f.u.
- Symmetry: R-3m

a = 9.094 Å, b = 9.094 Å, c = 9.094 Å
α = 33.23°, β = 33.23°, γ = 33.23°
Fractional coordinates of all 8 atoms:
1 La 0.000 0.000 0.000
2 Tm 0.500 0.500 0.500
3 Sc 0.248 0.248 0.248
4 Sc 0.752 0.752 0.752
5 Cd 0.128 0.128 0.128
6 Cd 0.380 0.380 0.380
7 Cd 0.620 0.620 0.620
8 Cd 0.872 0.872 0.872


calculated volume of number 3 (HoTmCoRu)? 74 Å³/f.u.


calculated total energy of number 2 (MgP2IO)? -3.4399 eV per atom


Which of these has the lowest calculated total energy? AlW2N